LiLaGe2Au | PBE-GGA | optimized geometry

* calculated formation energy: -0.710 eV per atom
* crystal system: tetragonal

Cell lengths 4.3081, 4.3081, 6.2754 Å; angles 110.08, 110.08, 90.00 degrees
Last column: nearest neighbours and their distance in Å.
Sites, in units of the cell vectors:
La 0.0000 0.0000 0.0000  8 Ge 3.29, 4 Li 3.49, 4 Au 3.49
Ge 0.6136 0.6136 0.2272  1 Ge 2.49, 2 Au 2.62, 2 Li 2.62
Li 0.7500 0.2500 0.5000  4 Ge 2.62
Ge 0.3864 0.3864 0.7728  1 Ge 2.49, 2 Li 2.62, 2 Au 2.62
Au 0.2500 0.7500 0.5000  4 Ge 2.62